First-principles (PBE) data for crystalline Mn2CdP at its relaxed geometry, as listed in the Alexandria database.

a b c (Å): 3.9055 3.9055 16.5569
angles (deg): 90.00 90.00 90.00
Closest atoms and distances in Å follow each position.
Space group I-42d (No. 122)
Asymmetric unit:
1 Mn 0.1212 0.2500 0.1250  2 Mn 2.17, 2 P 2.34
2 Cd 0.0000 0.0000 0.5000  4 Mn 2.72, 4 P 2.76
3 P 0.0000 0.0000 0.0000  4 Mn 2.34

## Properties
**Final energy**: -0.208 hartree per atom
**Distance to the lowest polymorph of the same formula**: 540 meV/atom